First-principles (meta-GGA SCAN) data for a PBEsol-optimized structure of BaYBr2, as listed in Alexandria via LeMat-Bulk.

Cell: 5.5200 5.5200 18.7709 Å, 90.00 90.00 90.00°
Element x y z (fractional)
Ba1 0.0000 0.0000 0.0000
Ba2 0.0000 0.5000 0.2500
Ba3 0.5000 0.0000 0.7500
Ba4 0.5000 0.5000 0.5000
Y1 0.0000 0.0000 0.5000
Y2 0.0000 0.5000 0.7500
Y3 0.5000 0.0000 0.2500
Y4 0.5000 0.5000 0.0000
Br1 0.1824 0.2500 0.6250
Br2 0.2500 0.6824 0.8750
Br3 0.2500 0.8176 0.3750
Br4 0.3176 0.2500 0.1250
Br5 0.6824 0.7500 0.1250
Br6 0.7500 0.1824 0.3750
Br7 0.7500 0.3176 0.8750
Br8 0.8176 0.7500 0.6250

Calculated values
Magnetization: 6.7 μB per cell
Fermi-level density of states: 11.1 states/eV/cell
Symmetry: I-42d (122)
Energy: -27.72 eV per atom

=====

First-principles (meta-GGA SCAN) data for a PBEsol-optimized structure of TmCd, as listed in Alexandria via LeMat-Bulk.

Cell: 3.6298 3.6298 3.6298 Å, 90.00 90.00 90.00°
Element x y z (fractional)
Tm1 0.0000 0.0000 0.0000
Cd1 0.5000 0.5000 0.5000

Calculated values
DFT formation energy: -0.43 eV/atom
Magnetization: 0.0 μB per cell
Fermi-level density of states: 1.2 states/eV/cell
Symmetry: Pm-3m (221)

=====

First-principles (meta-GGA SCAN) data for a PBEsol-optimized structure of Sc2IrAu, as listed in Alexandria via LeMat-Bulk.

Cell: 4.6832 4.6832 3.1804 Å, 90.00 90.00 90.00°
Element x y z (fractional)
Sc1 0.0000 0.5000 0.0000
Sc2 0.5000 0.0000 0.0000
Ir1 0.0000 0.0000 0.5000
Au1 0.5000 0.5000 0.5000

Calculated values
DFT formation energy: -1.11 eV/atom
Magnetization: 0.0 μB per cell
Fermi-level density of states: 1.8 states/eV/cell
Symmetry: P4/mmm (123)

=====

First-principles (meta-GGA SCAN) data for a PBEsol-optimized structure of MgIrRh2, as listed in Alexandria via LeMat-Bulk.

Cell: 2.7389 4.4034 4.6686 Å, 90.00 90.00 90.00°
Element x y z (fractional)
Mg1 0.0000 0.0000 0.0000
Ir1 0.0000 0.5000 0.3601
Rh1 0.5000 0.0000 0.5028
Rh2 0.5000 0.5000 0.8594

Calculated values
DFT formation energy: -0.27 eV/atom
Magnetization: 0.0 μB per cell
Fermi-level density of states: 2.8 states/eV/cell
Symmetry: Pmm2 (25)